[1]
The following is a DFT calculation (meta-GGA SCAN) of a PBEsol-optimized structure of Li3Mn8O16.

Lattice parameters (Å, degrees): 5.687 5.687 8.040 90.00 90.00 90.00
Sites, in units of the cell vectors:
Li 0.000 0.000 0.000
Li 0.000 0.500 0.746
Li 0.500 0.000 0.254
Mn 0.000 0.253 0.375
Mn 0.000 0.747 0.375
Mn 0.251 0.500 0.127
Mn 0.253 0.000 0.625
Mn 0.500 0.251 0.873
Mn 0.500 0.749 0.873
Mn 0.747 0.000 0.625
Mn 0.749 0.500 0.127
O 0.000 0.224 0.612
O 0.000 0.275 0.137
O 0.000 0.725 0.137
O 0.000 0.776 0.612
O 0.222 0.500 0.361
O 0.224 0.000 0.388
O 0.275 0.000 0.863
O 0.275 0.500 0.888
O 0.500 0.222 0.639
O 0.500 0.275 0.112
O 0.500 0.725 0.112
O 0.500 0.778 0.639
O 0.725 0.000 0.863
O 0.725 0.500 0.888
O 0.776 0.000 0.388
O 0.778 0.500 0.361

Summary:
M_tot (μB/cell): 21.00
Uncorrected formation energy (eV per formula unit): -60.0
Raw total energy (eV per atom): -11.59

[2]
The following is a DFT calculation (meta-GGA SCAN) of a PBEsol-optimized structure of LiMn4O8.

Lattice parameters (Å, degrees): 5.675 5.675 5.675 60.26 60.26 60.26
Sites, in units of the cell vectors:
Li 0.000 0.000 0.000
Mn 0.000 0.500 0.500
Mn 0.500 0.000 0.500
Mn 0.500 0.500 0.000
Mn 0.500 0.500 0.500
O 0.260 0.260 0.712
O 0.260 0.712 0.260
O 0.264 0.264 0.264
O 0.288 0.740 0.740
O 0.712 0.260 0.260
O 0.736 0.736 0.736
O 0.740 0.288 0.740
O 0.740 0.740 0.288

Summary:
M_tot (μB/cell): 5.00
Uncorrected formation energy (eV per formula unit): -27.7
ΔE to the lowest computed polymorph (meV per atom): 50
Raw total energy (eV per atom): -11.77

[3]
The following is a DFT calculation (meta-GGA SCAN) of a PBEsol-optimized structure of Li7Mn5O12.

Lattice parameters (Å, degrees): 5.119 2.813 14.382 90.00 93.00 90.00
Sites, in units of the cell vectors:
Li 0.000 0.000 0.000
Li 0.000 0.000 0.500
Li 0.189 0.500 0.330
Li 0.349 0.000 0.159
Li 0.500 0.500 0.000
Li 0.651 0.000 0.841
Li 0.811 0.500 0.670
Mn 0.126 0.500 0.843
Mn 0.301 0.000 0.671
Mn 0.500 0.500 0.500
Mn 0.699 0.000 0.329
Mn 0.874 0.500 0.157
O 0.020 0.000 0.237
O 0.152 0.500 0.089
O 0.156 0.500 0.594
O 0.303 0.000 0.909
O 0.352 0.000 0.423
O 0.437 0.500 0.750
O 0.563 0.500 0.250
O 0.648 0.000 0.577
O 0.697 0.000 0.091
O 0.844 0.500 0.406
O 0.848 0.500 0.911
O 0.980 0.000 0.763

Summary:
M_tot (μB/cell): 18.00
Uncorrected formation energy (eV per formula unit): -54.0
ΔE to the lowest computed polymorph (meV per atom): 26
Raw total energy (eV per atom): -9.87

[4]
The following is a DFT calculation (meta-GGA SCAN) of a PBEsol-optimized structure of LiMn3O4.

Lattice parameters (Å, degrees): 3.043 8.201 6.067 90.00 93.03 90.00
Sites, in units of the cell vectors:
Li 0.000 0.000 0.000
Li 0.000 0.500 0.500
Mn 0.000 0.000 0.500
Mn 0.000 0.500 0.000
Mn 0.499 0.249 0.750
Mn 0.499 0.751 0.750
Mn 0.501 0.249 0.250
Mn 0.501 0.751 0.250
O 0.000 0.242 0.500
O 0.000 0.249 0.000
O 0.000 0.751 0.000
O 0.000 0.758 0.500
O 0.449 0.000 0.743
O 0.473 0.500 0.248
O 0.527 0.500 0.752
O 0.551 0.000 0.257

Summary:
M_tot (μB/cell): 27.96
Uncorrected formation energy (eV per formula unit): -16.3
Raw total energy (eV per atom): -12.30